TaPbWO6 | GGA+U | optimized geometry

Calculated values
- DFT total energy (eV per cell) = -142.3
- calculated density (g cm⁻³) = 8.83

Cell lengths 5.0743, 5.0743, 9.7583 Å; angles 90.00, 90.00, 90.00 degrees
Closest atoms and distances in Å follow each position.
Sites, in units of the cell vectors:
Ta  0.0000  0.0000  0.0000  6 O 2.02
Ta  0.5000  0.5000  0.5000  6 O 2.02
Pb  0.0000  0.0000  0.6731  6 O 2.41-2.62
Pb  0.5000  0.5000  0.1731  6 O 2.41-2.62
W  0.0000  0.0000  0.3422  6 O 1.97-2.06
W  0.5000  0.5000  0.8422  6 O 1.97-2.06
O  0.1640  0.1640  0.1685  1 Ta 2.02, 1 W 2.06
O  0.2175  0.2175  0.8691  1 Ta 2.02, 1 W 2.04
O  0.2234  0.2234  0.4602  1 W 1.97, 1 Ta 2.02
O  0.2766  0.7234  0.9602  1 W 1.97, 1 Ta 2.02
O  0.2825  0.7175  0.3691  1 Ta 2.02, 1 W 2.04
O  0.3360  0.6640  0.6685  1 Ta 2.02, 1 W 2.06
O  0.6640  0.3360  0.6685  1 Ta 2.02, 1 W 2.06
O  0.7175  0.2825  0.3691  1 Ta 2.02, 1 W 2.04
O  0.7234  0.2766  0.9602  1 W 1.97, 1 Ta 2.02
O  0.7766  0.7766  0.4602  1 W 1.97, 1 Ta 2.02
O  0.7825  0.7825  0.8691  1 Ta 2.02, 1 W 2.04
O  0.8360  0.8360  0.1685  1 Ta 2.02, 1 W 2.06